Record 1
A geometry-optimized BaIn8 structure, computed with PBE-GGA.

Calculated values
As for the space-group type: I4/mmm (139). The calculation puts the formation energy at -123 kJ/mol of formula units. For the total energy, the calculation gives -25.101 eV for the cell shown.

Cell: 7.7222 7.7222 7.7222 Å, 95.77 95.77 143.01°
Last column: nearest neighbours and their distance in Å.
Sites, in units of the cell vectors:
Ba  0.0000  0.0000  0.0000  12 In 3.60-3.62
In  0.0000  0.3478  0.3478  7 In 3.15-3.31
In  0.0000  0.6522  0.6522  7 In 3.15-3.31
In  0.3184  0.3184  0.6368  8 In 3.16-3.54
In  0.3184  0.6816  0.0000  8 In 3.16-3.54
In  0.3478  0.0000  0.3478  7 In 3.15-3.31
In  0.6522  0.0000  0.6522  7 In 3.15-3.31
In  0.6816  0.3184  0.0000  8 In 3.16-3.54
In  0.6816  0.6816  0.3632  8 In 3.16-3.54

Record 2
A geometry-optimized MgTeSe2 structure, computed with PBE-GGA.

Calculated values
As for the space-group type: P4/mmm (123). For the total energy, the calculation gives -12.284 eV for the cell shown. The formation energy without anion corrections comes out at -144.6 meV per atom.

Cell: 5.0445 5.0445 3.5433 Å, 90.00 90.00 90.00°
Last column: nearest neighbours and their distance in Å.
Sites, in units of the cell vectors:
Mg  0.0000  0.0000  0.0000  8 Se 3.08
Te  0.5000  0.5000  0.0000  8 Se 3.08
Se  0.0000  0.5000  0.5000  4 Te 3.08, 4 Mg 3.08
Se  0.5000  0.0000  0.5000  4 Te 3.08, 4 Mg 3.08

Record 3
A geometry-optimized Sr5PdO8 structure, computed with PBE-GGA.

Calculated values
As for the space-group type: I-4 (82). For the total energy, the calculation gives -79.279 eV for the cell shown. The formation energy without anion corrections comes out at -1858.0 meV per atom.

Cell: 6.5988 6.5988 6.5988 Å, 112.25 112.25 104.05°
Last column: nearest neighbours and their distance in Å.
Sites, in units of the cell vectors:
Sr  0.0000  0.0000  0.0000  4 O 2.50
Sr  0.1213  0.2555  0.5972  6 O 2.48-2.71
Sr  0.4759  0.8787  0.1343  6 O 2.48-2.71
Sr  0.6584  0.5241  0.4028  6 O 2.48-2.71
Sr  0.7445  0.3416  0.8657  6 O 2.48-2.71
Pd  0.2500  0.7500  0.5000  4 O 2.02
O  0.0144  0.6034  0.7947  5 Sr 2.48-2.58
O  0.2309  0.5103  0.1842  1 Pd 2.02
O  0.3260  0.0467  0.8158  1 Pd 2.02
O  0.3966  0.1912  0.4110  5 Sr 2.48-2.58
O  0.4897  0.6740  0.7207  1 Pd 2.02
O  0.7802  0.9856  0.5890  5 Sr 2.48-2.58
O  0.8088  0.2198  0.2053  5 Sr 2.48-2.58
O  0.9533  0.7691  0.2793  1 Pd 2.02

Record 4
A geometry-optimized BaTlGa structure, computed with PBE-GGA.

Calculated values
As for the space-group type: I4mm (107). The calculation puts the formation energy at -68 kJ/mol of formula units. For the total energy, the calculation gives -8.025 eV for the cell shown.

Cell: 6.8583 6.8583 6.8583 Å, 146.98 146.98 47.39°
Last column: nearest neighbours and their distance in Å.
Sites, in units of the cell vectors:
Ba  0.0000  0.0000  0.0000  5 Ga 3.58-3.99, 5 Tl 3.72-3.79, 4 Ba 3.90
Tl  0.3016  0.3016  0.0000  4 Ga 3.14
Ga  0.6824  0.6824  0.0000  4 Tl 3.14

Record 5
A geometry-optimized LiCrSe2 structure, computed with PBE-GGA.

Calculated values
As for the space-group type: C2/m (12). For the total energy, the calculation gives -19.968 eV for the cell shown. The formation energy without anion corrections comes out at -365.5 meV per atom.

Cell: 4.9225 4.9225 3.1750 Å, 102.88 102.88 89.49°
Last column: nearest neighbours and their distance in Å.
Sites, in units of the cell vectors:
Li  0.0000  0.0000  0.0000  4 Se 2.61
Cr  0.5000  0.5000  0.0000  4 Se 2.61
Se  0.0000  0.5000  0.5000  2 Cr 2.61, 2 Li 2.61
Se  0.5000  0.0000  0.5000  2 Cr 2.61, 2 Li 2.61

Record 6
A geometry-optimized Pm6Ho3Tl structure, computed with PBE-GGA.

Calculated values
As for the space-group type: P2_1/m (11). The calculation puts the formation energy at 19 kJ/mol of formula units. For the total energy, the calculation gives -88.819 eV for the cell shown.

Cell: 12.3747 3.6128 14.8166 Å, 90.00 93.88 90.00°
Last column: nearest neighbours and their distance in Å.
Sites, in units of the cell vectors:
Pm  0.0629  0.2500  0.3904  3 Tl 3.26-3.37, 2 Ho 3.60, 4 Pm 3.61-3.64
Pm  0.1199  0.7500  0.9536  4 Ho 3.46-3.54, 8 Pm 3.61-3.81
Pm  0.2005  0.2500  0.7514  2 Tl 3.38, 3 Ho 3.60-3.70, 4 Pm 3.61-3.69
Pm  0.2945  0.7500  0.3126  1 Ho 3.25, 8 Pm 3.42-3.64
Pm  0.3094  0.2500  0.1078  6 Pm 3.55-3.64, 5 Ho 3.57-3.66
Pm  0.3878  0.2500  0.4977  2 Tl 3.23, 6 Pm 3.31-3.61, 2 Ho 3.51
Pm  0.6122  0.7500  0.5023  2 Tl 3.23, 6 Pm 3.31-3.61, 2 Ho 3.51
Pm  0.6906  0.7500  0.8922  6 Pm 3.55-3.64, 5 Ho 3.57-3.66
Pm  0.7055  0.2500  0.6874  1 Ho 3.25, 8 Pm 3.42-3.64
Pm  0.7995  0.7500  0.2486  2 Tl 3.38, 3 Ho 3.60-3.70, 4 Pm 3.61-3.69
Pm  0.8801  0.2500  0.0464  4 Ho 3.46-3.54, 8 Pm 3.61-3.81
Pm  0.9371  0.7500  0.6096  3 Tl 3.26-3.37, 2 Ho 3.60, 4 Pm 3.61-3.64
Ho  0.0732  0.7500  0.1812  7 Pm 3.25-3.60, 2 Ho 3.61
Ho  0.3999  0.7500  0.9191  3 Ho 3.38-3.61, 4 Pm 3.54-3.65
Ho  0.4493  0.7500  0.6975  3 Ho 3.38-3.61, 7 Pm 3.51-3.70, 1 Tl 3.71
Ho  0.5507  0.2500  0.3025  3 Ho 3.38-3.61, 7 Pm 3.51-3.70, 1 Tl 3.71
Ho  0.6001  0.2500  0.0809  3 Ho 3.38-3.61, 4 Pm 3.54-3.65
Ho  0.9268  0.2500  0.8188  7 Pm 3.25-3.60, 2 Ho 3.61
Tl  0.1889  0.7500  0.5583  7 Pm 3.23-3.38, 2 Tl 3.61
Tl  0.8111  0.2500  0.4417  7 Pm 3.23-3.38, 2 Tl 3.61

Record 7
A geometry-optimized Tm3ZrRh2 structure, computed with PBE-GGA.

Calculated values
As for the space-group type: Ibam (72). The calculation puts the formation energy at -291 kJ/mol of formula units. For the total energy, the calculation gives -79.362 eV for the cell shown.

Cell: 8.1018 8.1018 8.1018 Å, 132.14 72.18 129.43°
Last column: nearest neighbours and their distance in Å.
Sites, in units of the cell vectors:
Tm  0.0253  0.7500  0.2753  4 Rh 2.82-2.86
Tm  0.2500  0.2500  0.0000  4 Rh 2.85
Tm  0.4747  0.7500  0.7247  4 Rh 2.82-2.86
Tm  0.5253  0.2500  0.2753  4 Rh 2.82-2.86
Tm  0.7500  0.7500  0.0000  4 Rh 2.85
Tm  0.9747  0.2500  0.7247  4 Rh 2.82-2.86
Zr  0.0000  0.5000  0.5000  2 Rh 2.62
Zr  0.5000  0.0000  0.5000  2 Rh 2.62
Rh  0.1374  0.2099  0.3473  1 Zr 2.62, 6 Tm 2.82-2.86
Rh  0.3626  0.7099  0.0725  1 Zr 2.62, 6 Tm 2.82-2.86
Rh  0.6374  0.2901  0.9275  1 Zr 2.62, 6 Tm 2.82-2.86
Rh  0.8626  0.7901  0.6527  1 Zr 2.62, 6 Tm 2.82-2.86

Record 8
A geometry-optimized Ir2WAu2 structure, computed with PBE-GGA.

Calculated values
As for the space-group type: P4/mbm (127). The calculation puts the formation energy at 259 kJ/mol of formula units. For the total energy, the calculation gives -69.092 eV for the cell shown.

Cell: 6.5264 6.5264 4.1431 Å, 90.00 90.00 90.00°
Last column: nearest neighbours and their distance in Å.
Sites, in units of the cell vectors:
Ir  0.1350  0.3650  0.0000  1 Ir 2.49, 2 W 2.54, 2 Au 2.74
Ir  0.3650  0.8650  0.0000  1 Ir 2.49, 2 W 2.54, 2 Au 2.74
Ir  0.6350  0.1350  0.0000  1 Ir 2.49, 2 W 2.54, 2 Au 2.74
Ir  0.8650  0.6350  0.0000  1 Ir 2.49, 2 W 2.54, 2 Au 2.74
W  0.0000  0.0000  0.0000  4 Ir 2.54
W  0.5000  0.5000  0.0000  4 Ir 2.54
Au  0.1706  0.6706  0.5000  6 Ir 2.74-2.88
Au  0.3294  0.1706  0.5000  6 Ir 2.74-2.88
Au  0.6706  0.8294  0.5000  6 Ir 2.74-2.88
Au  0.8294  0.3294  0.5000  6 Ir 2.74-2.88

Record 9
A geometry-optimized Ta2MoAsOs structure, computed with PBE-GGA.

Calculated values
As for the space-group type: P4/mmm (123). The calculation puts the formation energy at 795 kJ/mol of formula units. For the total energy, the calculation gives -42.173 eV for the cell shown.

Cell: 4.8163 4.8163 4.7345 Å, 90.00 90.00 90.00°
Last column: nearest neighbours and their distance in Å.
Sites, in units of the cell vectors:
Ta  0.0000  0.5000  0.0000  2 Mo 2.41
Ta  0.5000  0.0000  0.0000  2 Mo 2.41
Mo  0.0000  0.0000  0.0000  2 Os 2.37, 4 Ta 2.41
As  0.5000  0.5000  0.5000  8 Ta 3.38, 4 Os 3.41
Os  0.0000  0.0000  0.5000  2 Mo 2.37

Record 10
A geometry-optimized PrSmOsPd structure, computed with PBE-GGA.

Calculated values
As for the space-group type: F-43m (216). The calculation puts the formation energy at -127 kJ/mol of formula units. For the total energy, the calculation gives -27.235 eV for the cell shown.

Cell: 5.0306 5.0306 5.0306 Å, 60.00 60.00 60.00°
Last column: nearest neighbours and their distance in Å.
Sites, in units of the cell vectors:
Pr  0.0000  0.0000  0.0000  4 Os 3.08, 4 Pd 3.08
Sm  0.5000  0.5000  0.5000  4 Os 3.08, 4 Pd 3.08
Os  0.2500  0.2500  0.2500  4 Pr 3.08, 4 Sm 3.08
Pd  0.7500  0.7500  0.7500  4 Pr 3.08, 4 Sm 3.08

> Number 7 is which compound?

Tm3ZrRh2

> Which formula does entry 3 have?

Sr5PdO8